[1]
A plane-wave DFT calculation with GGA-PBE was carried out for crystalline SmPuRu at its relaxed geometry.

Values from the calculation:
ΔE_f   -127.1 meV per atom
Energy above the lowest structure with this stoichiometry   0.0000 eV/atom
Uncorrected energy   -114.83 eV per cell

Cell: 6.630 6.726 8.135 Å, 90.00 122.35 90.00°
Atoms (fractional coordinates):
Sm1 0.209 0.156 0.423
Sm2 0.209 0.344 0.923
Sm3 0.791 0.656 0.077
Sm4 0.791 0.844 0.577
Pu1 0.288 0.664 0.596
Pu2 0.288 0.836 0.096
Pu3 0.712 0.164 0.904
Pu4 0.712 0.336 0.404
Ru1 0.313 0.546 0.302
Ru2 0.313 0.954 0.802
Ru3 0.687 0.046 0.198
Ru4 0.687 0.454 0.698

[2]
A plane-wave DFT calculation with GGA-PBE was carried out for crystalline Sm2PuRu at its relaxed geometry.

Values from the calculation:
ΔE_f   278.5 meV per atom
Energy above the lowest structure with this stoichiometry   0.4498 eV/atom
Uncorrected energy   -31.93 eV per cell

Cell: 10.877 10.877 10.877 Å, 18.46 18.46 18.46°
Atoms (fractional coordinates):
Sm1 0.105 0.105 0.105
Sm2 0.895 0.895 0.895
Pu1 0.000 0.000 0.000
Ru1 0.500 0.500 0.500

[3]
A plane-wave DFT calculation with GGA-PBE was carried out for crystalline SmPu2Ru3 at its relaxed geometry.

Values from the calculation:
ΔE_f   -162.2 meV per atom
Energy above the lowest structure with this stoichiometry   0.0000 eV/atom
Uncorrected energy   -62.18 eV per cell

Cell: 3.390 3.390 10.383 Å, 90.00 90.00 90.00°
Atoms (fractional coordinates):
Sm1 0.000 0.000 0.000
Pu1 0.000 0.000 0.337
Pu2 0.000 0.000 0.663
Ru1 0.500 0.500 0.187
Ru2 0.500 0.500 0.500
Ru3 0.500 0.500 0.813

[4]
A plane-wave DFT calculation with GGA-PBE was carried out for crystalline Sm2PuRu2 at its relaxed geometry.

Values from the calculation:
ΔE_f   -302.3 meV per atom
Energy above the lowest structure with this stoichiometry   0.0000 eV/atom
Uncorrected energy   -87.67 eV per cell

Cell: 5.869 5.869 7.881 Å, 99.52 99.52 60.76°
Atoms (fractional coordinates):
Sm1 0.025 0.278 0.151
Sm2 0.278 0.025 0.651
Sm3 0.722 0.975 0.349
Sm4 0.975 0.722 0.849
Pu1 0.378 0.622 0.250
Pu2 0.622 0.378 0.750
Ru1 0.233 0.504 0.491
Ru2 0.496 0.767 0.009
Ru3 0.504 0.233 0.991
Ru4 0.767 0.496 0.509

[5]
A plane-wave DFT calculation with GGA-PBE was carried out for crystalline SmPu2Ru9 at its relaxed geometry.

Values from the calculation:
ΔE_f   -20.5 meV per atom
Uncorrected energy   -117.11 eV per cell

Cell: 9.331 9.331 9.331 Å, 32.54 32.54 32.54°
Atoms (fractional coordinates):
Sm1 0.000 0.000 0.000
Pu1 0.141 0.141 0.141
Pu2 0.859 0.859 0.859
Ru1 0.078 0.585 0.585
Ru2 0.336 0.336 0.336
Ru3 0.415 0.415 0.922
Ru4 0.415 0.922 0.415
Ru5 0.500 0.500 0.500
Ru6 0.585 0.078 0.585
Ru7 0.585 0.585 0.078
Ru8 0.664 0.664 0.664
Ru9 0.922 0.415 0.415

[6]
A plane-wave DFT calculation with GGA-PBE was carried out for crystalline SmPuTcRu at its relaxed geometry.

Values from the calculation:
ΔE_f   10.8 meV per atom
Uncorrected energy   -38.65 eV per cell

Cell: 4.836 4.836 4.836 Å, 60.00 60.00 60.00°
Atoms (fractional coordinates):
Sm1 0.000 0.000 0.000
Pu1 0.500 0.500 0.500
Tc1 0.750 0.750 0.750
Ru1 0.250 0.250 0.250

[7]
A plane-wave DFT calculation with GGA-PBE was carried out for crystalline SmPuTlRu at its relaxed geometry.

Values from the calculation:
ΔE_f   -198.4 meV per atom
Energy above the lowest structure with this stoichiometry   0.0000 eV/atom
Uncorrected energy   -31.49 eV per cell

Cell: 3.376 3.376 8.507 Å, 90.00 90.00 90.00°
Atoms (fractional coordinates):
Sm1 0.000 0.000 0.000
Pu1 0.000 0.000 0.592
Tl1 0.500 0.500 0.300
Ru1 0.500 0.500 0.785

[8]
A plane-wave DFT calculation with GGA-PBE was carried out for crystalline SmPuTlRu at its relaxed geometry.

Values from the calculation:
ΔE_f   10.1 meV per atom
Energy above the lowest structure with this stoichiometry   0.2085 eV/atom
Uncorrected energy   -30.65 eV per cell

Cell: 5.144 5.144 5.144 Å, 60.00 60.00 60.00°
Atoms (fractional coordinates):
Sm1 0.000 0.000 0.000
Pu1 0.500 0.500 0.500
Tl1 0.250 0.250 0.250
Ru1 0.750 0.750 0.750

[9]
A plane-wave DFT calculation with GGA-PBE was carried out for crystalline Sm2PuU2Ru5 at its relaxed geometry.

Values from the calculation:
ΔE_f   -179.9 meV per atom
Uncorrected energy   -189.05 eV per cell

Cell: 10.679 10.679 3.568 Å, 90.00 90.00 90.00°
Atoms (fractional coordinates):
Sm1 0.175 0.325 0.000
Sm2 0.325 0.825 0.000
Sm3 0.675 0.175 0.000
Sm4 0.825 0.675 0.000
Pu1 0.000 0.000 0.000
Pu2 0.500 0.500 0.000
U1 0.136 0.636 0.000
U2 0.364 0.136 0.000
U3 0.636 0.864 0.000
U4 0.864 0.364 0.000
Ru1 0.000 0.500 0.500
Ru2 0.050 0.791 0.500
Ru3 0.209 0.050 0.500
Ru4 0.291 0.550 0.500
Ru5 0.450 0.291 0.500
Ru6 0.500 0.000 0.500
Ru7 0.550 0.709 0.500
Ru8 0.709 0.450 0.500
Ru9 0.791 0.950 0.500
Ru10 0.950 0.209 0.500

[10]
A plane-wave DFT calculation with GGA-PBE was carried out for crystalline SmPuZnRu at its relaxed geometry.

Values from the calculation:
ΔE_f   -128.0 meV per atom
Uncorrected energy   -30.11 eV per cell

Cell: 4.962 4.962 4.962 Å, 60.00 60.00 60.00°
Atoms (fractional coordinates):
Sm1 0.000 0.000 0.000
Pu1 0.500 0.500 0.500
Zn1 0.750 0.750 0.750
Ru1 0.250 0.250 0.250

[11]
A plane-wave DFT calculation with GGA-PBE was carried out for crystalline Pu5SnRu4 at its relaxed geometry.

Values from the calculation:
ΔE_f   59.9 meV per atom
Uncorrected energy   -112.17 eV per cell

Cell: 3.242 3.242 19.080 Å, 90.00 90.00 90.00°
Atoms (fractional coordinates):
Pu1 0.000 0.000 0.000
Pu2 0.000 0.000 0.187
Pu3 0.000 0.000 0.373
Pu4 0.000 0.000 0.627
Pu5 0.000 0.000 0.813
Sn1 0.500 0.500 0.500
Ru1 0.500 0.500 0.107
Ru2 0.500 0.500 0.268
Ru3 0.500 0.500 0.732
Ru4 0.500 0.500 0.893

[12]
A plane-wave DFT calculation with GGA-PBE was carried out for crystalline Pu2SnRu at its relaxed geometry.

Values from the calculation:
ΔE_f   -12.9 meV per atom
Energy above the lowest structure with this stoichiometry   0.1814 eV/atom
Uncorrected energy   -41.99 eV per cell

Cell: 5.329 5.329 5.329 Å, 54.17 54.17 54.17°
Atoms (fractional coordinates):
Pu1 0.235 0.235 0.235
Pu2 0.765 0.765 0.765
Sn1 0.000 0.000 0.000
Ru1 0.500 0.500 0.500

[13]
A plane-wave DFT calculation with GGA-PBE was carried out for crystalline PuSnRu at its relaxed geometry.

Values from the calculation:
ΔE_f   -102.1 meV per atom
Uncorrected energy   -27.92 eV per cell

Cell: 4.697 4.697 3.347 Å, 90.00 90.00 120.00°
Atoms (fractional coordinates):
Pu1 0.000 0.000 0.000
Sn1 0.333 0.667 0.500
Ru1 0.667 0.333 0.500

[14]
A plane-wave DFT calculation with GGA-PBE was carried out for crystalline Pu2SnRu at its relaxed geometry.

Values from the calculation:
ΔE_f   -194.3 meV per atom
Energy above the lowest structure with this stoichiometry   0.0000 eV/atom
Uncorrected energy   -42.72 eV per cell

Cell: 3.820 3.820 6.055 Å, 90.00 90.00 90.00°
Atoms (fractional coordinates):
Pu1 0.000 0.000 0.228
Pu2 0.000 0.000 0.772
Sn1 0.500 0.500 0.500
Ru1 0.500 0.500 0.000

[15]
A plane-wave DFT calculation with GGA-PBE was carried out for crystalline Pu3SnRu2 at its relaxed geometry.

Values from the calculation:
ΔE_f   -244.3 meV per atom
Energy above the lowest structure with this stoichiometry   0.0000 eV/atom
Uncorrected energy   -67.02 eV per cell

Cell: 3.270 3.270 12.044 Å, 90.00 90.00 90.00°
Atoms (fractional coordinates):
Pu1 0.000 0.000 0.000
Pu2 0.000 0.000 0.297
Pu3 0.000 0.000 0.703
Sn1 0.500 0.500 0.500
Ru1 0.500 0.500 0.145
Ru2 0.500 0.500 0.855

[16]
A plane-wave DFT calculation with GGA-PBE was carried out for crystalline PuSnRu at its relaxed geometry.

Values from the calculation:
ΔE_f   -316.6 meV per atom
Uncorrected energy   -114.24 eV per cell

Cell: 6.914 4.527 8.097 Å, 90.00 90.00 90.00°
Atoms (fractional coordinates):
Pu1 0.033 0.250 0.178
Pu2 0.467 0.750 0.678
Pu3 0.533 0.250 0.322
Pu4 0.967 0.750 0.822
Sn1 0.148 0.250 0.571
Sn2 0.352 0.750 0.071
Sn3 0.648 0.250 0.929
Sn4 0.852 0.750 0.429
Ru1 0.242 0.250 0.899
Ru2 0.258 0.750 0.399
Ru3 0.742 0.250 0.601
Ru4 0.758 0.750 0.101

[17]
A plane-wave DFT calculation with GGA-PBE was carried out for crystalline Pu3SnRu at its relaxed geometry.

Values from the calculation:
ΔE_f   -111.0 meV per atom
Uncorrected energy   -227.32 eV per cell

Cell: 6.736 4.625 12.877 Å, 90.00 90.00 90.00°
Atoms (fractional coordinates):
Pu1 0.046 0.250 0.247
Pu2 0.079 0.250 0.692
Pu3 0.212 0.750 0.882
Pu4 0.288 0.250 0.382
Pu5 0.421 0.750 0.192
Pu6 0.454 0.750 0.747
Pu7 0.546 0.250 0.253
Pu8 0.579 0.250 0.808
Pu9 0.712 0.750 0.618
Pu10 0.788 0.250 0.118
Pu11 0.921 0.750 0.308
Pu12 0.954 0.750 0.753
Sn1 0.200 0.750 0.538
Sn2 0.300 0.250 0.038
Sn3 0.700 0.750 0.962
Sn4 0.800 0.250 0.462
Ru1 0.065 0.750 0.079
Ru2 0.435 0.250 0.579
Ru3 0.565 0.750 0.421
Ru4 0.935 0.250 0.921

[18]
A plane-wave DFT calculation with GGA-PBE was carried out for crystalline Pu4SnRu2 at its relaxed geometry.

Values from the calculation:
ΔE_f   -88.7 meV per atom
Uncorrected energy   -80.50 eV per cell

Cell: 7.549 7.549 7.549 Å, 38.24 38.24 38.24°
Atoms (fractional coordinates):
Pu1 0.074 0.074 0.074
Pu2 0.240 0.240 0.240
Pu3 0.760 0.760 0.760
Pu4 0.926 0.926 0.926
Sn1 0.500 0.500 0.500
Ru1 0.365 0.365 0.365
Ru2 0.635 0.635 0.635

[19]
A plane-wave DFT calculation with GGA-PBE was carried out for crystalline PuSnRu at its relaxed geometry.

Values from the calculation:
ΔE_f   -60.3 meV per atom
Uncorrected energy   -55.58 eV per cell

Cell: 4.697 4.697 7.792 Å, 107.48 107.48 59.98°
Atoms (fractional coordinates):
Pu1 0.125 0.125 0.375
Pu2 0.875 0.875 0.625
Sn1 0.378 0.378 0.133
Sn2 0.622 0.622 0.867
Ru1 0.251 0.251 0.755
Ru2 0.749 0.749 0.245

[20]
A plane-wave DFT calculation with GGA-PBE was carried out for crystalline Pu11Sn9Ru4 at its relaxed geometry.

Values from the calculation:
ΔE_f   -355.8 meV per atom
Uncorrected energy   -239.32 eV per cell

Cell: 12.401 12.401 3.971 Å, 90.00 90.00 111.22°
Atoms (fractional coordinates):
Pu1 0.000 0.000 0.000
Pu2 0.074 0.422 0.000
Pu3 0.152 0.848 0.000
Pu4 0.313 0.313 0.000
Pu5 0.371 0.629 0.000
Pu6 0.422 0.074 0.000
Pu7 0.578 0.926 0.000
Pu8 0.629 0.371 0.000
Pu9 0.687 0.687 0.000
Pu10 0.848 0.152 0.000
Pu11 0.926 0.578 0.000
Sn1 0.076 0.222 0.500
Sn2 0.154 0.636 0.500
Sn3 0.222 0.076 0.500
Sn4 0.364 0.846 0.500
Sn5 0.500 0.500 0.500
Sn6 0.636 0.154 0.500
Sn7 0.778 0.924 0.500
Sn8 0.846 0.364 0.500
Sn9 0.924 0.778 0.500
Ru1 0.246 0.452 0.500
Ru2 0.452 0.246 0.500
Ru3 0.548 0.754 0.500
Ru4 0.754 0.548 0.500

[21]
A plane-wave DFT calculation with GGA-PBE was carried out for crystalline Pu2SnRu at its relaxed geometry.

Values from the calculation:
ΔE_f   -164.7 meV per atom
Energy above the lowest structure with this stoichiometry   0.0295 eV/atom
Uncorrected energy   -42.60 eV per cell

Cell: 4.411 4.411 4.428 Å, 90.00 90.00 90.00°
Atoms (fractional coordinates):
Pu1 0.000 0.500 0.000
Pu2 0.500 0.000 0.000
Sn1 0.000 0.000 0.500
Ru1 0.500 0.500 0.500

[22]
A plane-wave DFT calculation with GGA-PBE was carried out for crystalline Pu3SnRu2 at its relaxed geometry.

Values from the calculation:
ΔE_f   4.9 meV per atom
Energy above the lowest structure with this stoichiometry   0.2492 eV/atom
Uncorrected energy   -131.04 eV per cell

Cell: 7.089 7.089 7.089 Å, 108.53 103.71 116.43°
Atoms (fractional coordinates):
Pu1 0.000 0.178 0.178
Pu2 0.000 0.822 0.822
Pu3 0.500 0.000 0.000
Pu4 0.500 0.178 0.678
Pu5 0.500 0.500 0.500
Pu6 0.500 0.822 0.322
Sn1 0.066 0.316 0.750
Sn2 0.934 0.684 0.250
Ru1 0.236 0.658 0.578
Ru2 0.420 0.342 0.078
Ru3 0.580 0.658 0.922
Ru4 0.764 0.342 0.422

[23]
A plane-wave DFT calculation with GGA-PBE was carried out for crystalline PuSn3Ru at its relaxed geometry.

Values from the calculation:
ΔE_f   -242.8 meV per atom
Uncorrected energy   -36.83 eV per cell

Cell: 4.633 6.029 6.029 Å, 45.13 90.00 90.00°
Atoms (fractional coordinates):
Pu1 0.000 0.000 0.000
Sn1 0.000 0.294 0.294
Sn2 0.500 0.527 0.527
Sn3 0.500 0.805 0.805
Ru1 0.000 0.670 0.670

[24]
A plane-wave DFT calculation with GGA-PBE was carried out for crystalline PuSnRu2 at its relaxed geometry.

Values from the calculation:
ΔE_f   -197.0 meV per atom
Uncorrected energy   -37.67 eV per cell

Cell: 4.502 4.502 3.565 Å, 90.00 90.00 90.00°
Atoms (fractional coordinates):
Pu1 0.000 0.000 0.000
Sn1 0.500 0.500 0.000
Ru1 0.000 0.500 0.500
Ru2 0.500 0.000 0.500

| no. | total magnetization (μB per atom) |
| --- | --- |
| 1 | 1.659 |
| 2 | 1.545 |
| 3 | 1.394 |
| 4 | 0.872 |
| 5 | 0.574 |
| 6 | 0.905 |
| 7 | 1.171 |
| 8 | 1.280 |
| 9 | 0.474 |
| 10 | 1.343 |
| 11 | 1.512 |
| 12 | 2.469 |
| 13 | 1.494 |
| 14 | 2.559 |
| 15 | 2.392 |
| 16 | 1.528 |
| 17 | 0.184 |
| 18 | 2.858 |
| 19 | 1.730 |
| 20 | 0.934 |
| 21 | 2.507 |
| 22 | 2.517 |
| 23 | 1.044 |
| 24 | 1.009 |